Below is a geometry-optimized Sc4Ga2Pd structure, with properties calculated at the GGA-PBE level.

M_tot   0.0 μB per formula unit
Energy relative to the lowest polymorph listed for this composition   0.366 eV per atom
E_form   -171 meV/atom

a = 5.020 Å, b = 5.020 Å, c = 13.495 Å
α = 90.00°, β = 90.00°, γ = 90.00°
Space group I4/mmm (No. 139)
Symmetry-distinct sites (fractional):
1 Sc 0.000 0.000 0.191 [4 per cell]
2 Sc 0.000 0.500 0.000 [4 per cell]
3 Ga 0.000 0.000 0.391 [4 per cell]
4 Pd 0.000 0.000 0.000 [2 per cell]

Below is a geometry-optimized ScGa2Pd6 structure, with properties calculated at the GGA-PBE level.

M_tot   0.0 μB per formula unit
E_form   -652 meV/atom

a = 9.221 Å, b = 4.583 Å, c = 7.997 Å
α = 90.00°, β = 123.05°, γ = 90.00°
Space group C2/m (No. 12)
Symmetry-distinct sites (fractional):
1 Sc 0.000 0.000 0.000 [2 per cell]
2 Ga 0.187 0.500 0.289 [4 per cell]
3 Pd 0.010 0.000 0.679 [4 per cell]
4 Pd 0.144 0.500 0.936 [4 per cell]
5 Pd 0.174 0.500 0.599 [4 per cell]

Below is a geometry-optimized ScGaPd3 structure, with properties calculated at the GGA-PBE level.

M_tot   0.0 μB per formula unit
Energy relative to the lowest polymorph listed for this composition   0.000 eV per atom
E_form   -776 meV/atom

a = 4.585 Å, b = 15.363 Å, c = 4.568 Å
α = 90.00°, β = 90.00°, γ = 90.00°
Space group Cmcm (No. 63)
Symmetry-distinct sites (fractional):
1 Sc 0.000 0.149 0.250 [4 per cell]
2 Ga 0.000 0.358 0.250 [4 per cell]
3 Pd 0.000 0.058 0.750 [4 per cell]
4 Pd 0.000 0.251 0.750 [4 per cell]
5 Pd 0.000 0.444 0.750 [4 per cell]

Below is a geometry-optimized Sc11Ga9Pd4 structure, with properties calculated at the GGA-PBE level.

M_tot   0.0 μB per formula unit
E_form   -726 meV/atom

a = 13.349 Å, b = 20.202 Å, c = 3.323 Å
α = 90.00°, β = 90.00°, γ = 90.00°
Space group Cmmm (No. 65)
Symmetry-distinct sites (fractional):
1 Sc 0.000 0.000 0.000 [2 per cell]
2 Sc 0.000 0.162 0.000 [4 per cell]
3 Sc 0.000 0.364 0.000 [4 per cell]
4 Sc 0.209 0.500 0.000 [4 per cell]
5 Sc 0.235 0.174 0.000 [8 per cell]
6 Ga 0.000 0.500 0.500 [2 per cell]
7 Ga 0.106 0.263 0.500 [8 per cell]
8 Ga 0.139 0.074 0.500 [8 per cell]
9 Pd 0.154 0.399 0.500 [8 per cell]

Below is a geometry-optimized ScGa3Pd3 structure, with properties calculated at the GGA-PBE level.

M_tot   0.0 μB per formula unit
Energy relative to the lowest polymorph listed for this composition   0.000 eV per atom
E_form   -652 meV/atom

a = 6.8265 Å, b = 6.8265 Å, c = 17.6022 Å
α = 90.00°, β = 90.00°, γ = 120.00°
Space group R-3 (No. 148, hexagonal axes)
Symmetry-distinct sites (fractional):
1 Sc 0.0000 0.0000 0.1613 [6 per cell]
2 Ga 0.0220 0.6092 0.3795 [18 per cell]
3 Pd 0.0094 0.7560 0.5657 [18 per cell]

Below is a geometry-optimized SmScGa2Pd5 structure, with properties calculated at the GGA-PBE level.

M_tot   0.0 μB per formula unit
E_form   -719 meV/atom

a = 4.158 Å, b = 4.158 Å, c = 9.345 Å
α = 90.00°, β = 90.00°, γ = 90.00°
Space group P4/mmm (No. 123)
Symmetry-distinct sites (fractional):
1 Sm 0.000 0.000 0.000 [1 per cell]
2 Sc 0.000 0.000 0.500 [1 per cell]
3 Ga 0.500 0.500 0.371 [2 per cell]
4 Pd 0.000 0.500 0.228 [4 per cell]
5 Pd 0.500 0.500 0.000 [1 per cell]

Below is a geometry-optimized Sm2ScGa4Pd3 structure, with properties calculated at the GGA-PBE level.

M_tot   0.0 μB per formula unit
E_form   -744 meV/atom

a = 4.124 Å, b = 4.124 Å, c = 11.757 Å
α = 90.00°, β = 90.00°, γ = 90.00°
Space group P-4m2 (No. 115)
Symmetry-distinct sites (fractional):
1 Sm 0.000 0.500 0.237 [2 per cell]
2 Sc 0.000 0.000 0.500 [1 per cell]
3 Ga 0.000 0.000 0.000 [1 per cell]
4 Ga 0.000 0.500 0.655 [2 per cell]
5 Ga 0.500 0.500 0.000 [1 per cell]
6 Pd 0.000 0.500 0.868 [2 per cell]
7 Pd 0.500 0.500 0.500 [1 per cell]

Below is a geometry-optimized SmScGaPd structure, with properties calculated at the GGA-PBE level.

M_tot   0.0 μB per formula unit
E_form   -653 meV/atom

a = 6.988 Å, b = 6.988 Å, c = 6.988 Å
α = 90.00°, β = 90.00°, γ = 90.00°
Space group F-43m (No. 216)
Symmetry-distinct sites (fractional):
1 Sm 0.000 0.000 0.000 [4 per cell]
2 Sc 0.000 0.000 0.500 [4 per cell]
3 Ga 0.250 0.250 0.750 [4 per cell]
4 Pd 0.250 0.250 0.250 [4 per cell]